one | AcZn4In | GGA-PBE | optimized geometry

Structure (extended XYZ):
```
6
Lattice="0.0000 4.0260 4.0260 4.0260 0.0000 4.0260 4.0260 4.0260 0.0000" Properties=species:S:1:pos:R:3 pbc="T T T"
Ac 0.0000 0.0000 0.0000
Zn 5.0314 3.0205 3.0205
Zn 3.0205 5.0314 3.0205
Zn 3.0205 3.0205 5.0314
Zn 5.0314 5.0314 5.0314
In 2.0130 2.0130 2.0130
```

## Properties
The spin magnetization is 0.00 μB per formula unit. Its space-group type is F-43m (216).

two | AcZn4In | GGA-PBE | optimized geometry

Structure (extended XYZ):
```
24
Lattice="-5.7309 5.7309 4.1376 5.7309 -5.7309 4.1376 5.7309 5.7309 -4.1376" Properties=species:S:1:pos:R:3 pbc="T T T"
Ac 0.0000 0.0000 1.8363
Ac 5.7309 0.0000 2.0688
Ac 0.0000 5.7309 2.0688
Ac 0.0000 0.0000 6.4390
Zn 3.0511 1.2419 0.0000
Zn 8.4107 1.2419 0.0000
Zn 3.6005 3.6005 -1.4908
Zn 2.1304 -2.1304 2.6468
Zn 1.2419 3.0511 0.0000
Zn 4.4890 -2.6798 4.1376
Zn 3.6005 3.6005 1.4908
Zn 2.1304 -2.1304 5.6285
Zn -2.1304 2.1304 2.6468
Zn 2.1304 2.1304 2.6468
Zn 1.2419 8.4107 0.0000
Zn 4.4890 2.6798 4.1376
Zn -2.1304 2.1304 5.6285
Zn 2.1304 2.1304 5.6285
Zn -2.6798 4.4890 4.1376
Zn 2.6798 4.4890 4.1376
In 5.7309 2.7757 0.0000
In 2.7757 5.7309 0.0000
In 2.9551 0.0000 4.1376
In 0.0000 2.9551 4.1376
```

## Properties
The spin magnetization is 0.00 μB per formula unit. Its space-group type is I4/mmm (139).

Least stable structure among those shown: two.